Record 1
Material: YAlPt2
Method: DFT, GGA-PBE
State: relaxed

a b c (Å): 4.2169 4.2169 15.6161
angles (deg): 90.00 90.00 120.00
Space group R3m (No. 160, hexagonal axes)
Unique sites:
Y1 0.0000 0.0000 0.0000 [3 per cell]
Al1 0.0000 0.0000 0.8078 [3 per cell]
Pt1 0.0000 0.0000 0.2060 [3 per cell]
Pt2 0.0000 0.0000 0.4373 [3 per cell]

=====

Record 2
Material: YAlPt
Method: DFT, GGA-PBE
State: relaxed

a b c (Å): 3.3132 3.3132 10.8109
angles (deg): 90.00 90.00 90.00
Space group I4mm (No. 107)
Unique sites:
Y1 0.0000 0.0000 0.0000 [2 per cell]
Al1 0.0000 0.0000 0.7053 [2 per cell]
Pt1 0.0000 0.0000 0.3168 [2 per cell]

=====

Record 3
Material: YAl2Pt3
Method: DFT, GGA-PBE
State: relaxed

a b c (Å): 4.3510 4.3510 12.7520
angles (deg): 90.00 90.00 120.00
Space group P6_3/mmc (No. 194)
Unique sites:
Y1 0.0000 0.0000 0.2500 [2 per cell]
Al1 0.3333 0.6667 0.0767 [4 per cell]
Pt1 0.0000 0.0000 0.0000 [2 per cell]
Pt2 0.3333 0.6667 0.6257 [4 per cell]

=====

Record 4
Material: YAl2Pt
Method: DFT, GGA-PBE
State: relaxed

a b c (Å): 15.8133 6.9381 5.5911
angles (deg): 90.00 90.00 90.00
Space group Pnma (No. 62)
Unique sites:
Y1 0.1061 0.2500 0.2407 [4 per cell]
Y2 0.1434 0.7500 0.4756 [4 per cell]
Al1 0.0359 0.0540 0.7506 [8 per cell]
Al2 0.2124 0.5557 0.9638 [8 per cell]
Pt1 0.0717 0.7500 0.9925 [4 per cell]
Pt2 0.1774 0.2500 0.7231 [4 per cell]

=====

Record 5
Material: YAlPt
Method: DFT, GGA-PBE
State: relaxed

a b c (Å): 4.4046 21.2716 7.6856
angles (deg): 90.00 90.00 90.00
Space group Imm2 (No. 44)
Unique sites:
Y1 0.0000 0.0000 0.0000 [2 per cell]
Y2 0.0000 0.1643 0.9030 [4 per cell]
Y3 0.0000 0.3264 0.0200 [4 per cell]
Y4 0.0000 0.5000 0.9150 [2 per cell]
Al1 0.0000 0.1114 0.2864 [4 per cell]
Al2 0.0000 0.2820 0.6386 [4 per cell]
Al3 0.0000 0.4354 0.2866 [4 per cell]
Pt1 0.0000 0.0762 0.6128 [4 per cell]
Pt2 0.0000 0.2386 0.3137 [4 per cell]
Pt3 0.0000 0.4059 0.6180 [4 per cell]

=====

Record 6
Material: YAlPt2
Method: DFT, GGA-PBE
State: relaxed

a b c (Å): 3.6387 3.6387 5.8026
angles (deg): 90.00 90.00 90.00
Space group P4mm (No. 99)
Unique sites:
Y1 0.0000 0.0000 0.0000 [1 per cell]
Al1 0.5000 0.5000 0.3584 [1 per cell]
Pt1 0.0000 0.0000 0.4781 [1 per cell]
Pt2 0.5000 0.5000 0.7974 [1 per cell]

=====

Record 7
Material: YAl2Pt2
Method: DFT, GGA-PBE
State: relaxed

a b c (Å): 7.7825 7.7825 2.8181
angles (deg): 90.00 90.00 90.00
Space group P4/mbm (No. 127)
Unique sites:
Y1 0.0000 0.0000 0.0000 [2 per cell]
Al1 0.1254 0.3746 0.0000 [4 per cell]
Pt1 0.1691 0.6691 0.5000 [4 per cell]

=====

Record 8
Material: YAl3Pt
Method: DFT, GGA-PBE
State: relaxed

a b c (Å): 6.8239 4.1913 6.8718
angles (deg): 90.00 105.11 90.00
Space group P2_1/m (No. 11)
Unique sites:
Y1 0.1941 0.2500 0.1717 [2 per cell]
Al1 0.0710 0.2500 0.6476 [2 per cell]
Al2 0.3254 0.7500 0.9030 [2 per cell]
Al3 0.3429 0.7500 0.5150 [2 per cell]
Pt1 0.4489 0.2500 0.7377 [2 per cell]

=====

Record 9
Material: Y2Al8Pt
Method: DFT, GGA-PBE
State: relaxed

a b c (Å): 4.2942 4.2942 11.2112
angles (deg): 90.00 90.00 90.00
Space group P4/mmm (No. 123)
Unique sites:
Y1 0.0000 0.0000 0.1885 [2 per cell]
Al1 0.0000 0.5000 0.0000 [2 per cell]
Al2 0.0000 0.5000 0.3748 [4 per cell]
Al3 0.5000 0.5000 0.1962 [2 per cell]
Pt1 0.0000 0.0000 0.5000 [1 per cell]

=====

Record 10
Material: YAlPt
Method: DFT, GGA-PBE
State: relaxed

a b c (Å): 4.3809 4.3809 3.7536
angles (deg): 90.00 90.00 120.00
Space group P-6m2 (No. 187)
Unique sites:
Y1 0.0000 0.0000 0.0000 [1 per cell]
Al1 0.6667 0.3333 0.5000 [1 per cell]
Pt1 0.3333 0.6667 0.5000 [1 per cell]

=====

Record 11
Material: YAlPt2
Method: DFT, GGA-PBE
State: relaxed

a b c (Å): 6.6415 6.6415 6.6415
angles (deg): 90.00 90.00 90.00
Space group F-43m (No. 216)
Unique sites:
Y1 0.0000 0.0000 0.0000 [4 per cell]
Al1 0.2500 0.2500 0.7500 [4 per cell]
Pt1 0.0000 0.0000 0.5000 [4 per cell]
Pt2 0.2500 0.2500 0.2500 [4 per cell]

=====

Record 12
Material: YAl2Pt2
Method: DFT, GGA-PBE
State: relaxed

a b c (Å): 7.7184 7.7184 2.9438
angles (deg): 90.00 90.00 90.00
Space group P4/mbm (No. 127)
Unique sites:
Y1 0.0000 0.0000 0.0000 [2 per cell]
Al1 0.1489 0.3511 0.5000 [4 per cell]
Pt1 0.1417 0.6417 0.0000 [4 per cell]

=====

For reference, total DFT energy (no corrections) by record: -6.568, -6.278, -6.525, -5.975, -6.534, -6.485, -6.124, -5.561, -5.007, -6.450, -6.244, -6.064 eV/atom.
For reference, energy relative to the elements by record: -1.00, -0.86, -1.18, -0.98, -1.12, -0.91, -0.92, -0.81, -0.56, -1.03, -0.67, -0.86 eV/atom.
For reference, density by record: 10.5, 8.7, 11.6, 7.3, 8.6, 10.9, 10.4, 6.4, 4.7, 8.3, 11.5, 10.1 g cm⁻³.